Record 1
Below is an optimized crystal structure of MgTaMn2, with properties calculated at the PBE level.

The structure in extended XYZ format:
```
4
Lattice="-3.2566 -1.6820 2.2787 1.2024 -3.9657 -1.2059 1.8795 -0.2016 2.5371" Properties=species:S:1:pos:R:3 pbc="T T T"
Mg 1.5409 -2.0837 0.6656
Mn 0.0000 0.0000 0.0000
Mn -1.0271 -2.8239 0.5364
Ta -0.6886 -0.9418 2.4079
```

Values from the calculation:
Raw total energy ... -31.2 eV per cell

---

Record 2
Below is an optimized crystal structure of MgTaMn3, with properties calculated at the PBE level.

The structure in extended XYZ format:
```
5
Lattice="-1.2781 2.6789 -3.1744 -3.5561 -2.4220 -0.6121 -2.1464 2.4175 2.9044" Properties=species:S:1:pos:R:3 pbc="T T T"
Mg 0.0000 0.0000 0.0000
Mn -1.7781 -1.2110 -0.3061
Mn -1.0732 1.2088 1.4522
Mn -0.6391 1.3394 -1.5872
Ta -3.4903 1.3372 -0.4411
```

Values from the calculation:
Offset from the most stable computed form ... 388.4 meV per atom
Raw total energy ... -33.3 eV per cell

---

Record 3
Below is an optimized crystal structure of MgTaMn2, with properties calculated at the PBE level.

The structure in extended XYZ format:
```
4
Lattice="-3.9738 -1.4297 1.8859 -1.9712 -1.7009 3.8226 -1.3622 4.7047 2.0673" Properties=species:S:1:pos:R:3 pbc="T T T"
Mg -5.4804 1.1806 5.8319
Mn -5.9684 -3.0065 5.7501
Mn -3.6302 0.6629 3.8463
Ta -1.8268 0.3935 1.9440
```

Values from the calculation:
Raw total energy ... -30.4 eV per cell

---

Record 4
Below is an optimized crystal structure of Mg2TaMn, with properties calculated at the PBE level.

The structure in extended XYZ format:
```
4
Lattice="-8.3384 0.1234 5.7392 -6.9123 -2.0133 7.1168 -6.3929 0.7695 7.8116" Properties=species:S:1:pos:R:3 pbc="T T T"
Mg -21.5547 -1.1158 20.5827
Mg -10.9107 -0.5648 10.4187
Mn -5.4109 -0.2801 5.1669
Ta -16.2327 -0.8403 15.5007
```

Values from the calculation:
Offset from the most stable computed form ... 222.6 meV per atom
Raw total energy ... -22.8 eV per cell

---

Record 5
Below is an optimized crystal structure of MgTaMn2, with properties calculated at the PBE level.

The structure in extended XYZ format:
```
4
Lattice="-2.3399 -8.8416 -1.6208 0.0189 -9.2885 0.0227 -2.5654 -8.8350 1.2799" Properties=species:S:1:pos:R:3 pbc="T T T"
Mg -3.6649 -20.2238 -0.2386
Mn -4.8700 -26.8741 -0.3170
Mn -2.4597 -13.5735 -0.1601
Ta -1.2216 -6.7413 -0.0795
```

Values from the calculation:
Raw total energy ... -30.5 eV per cell

---

Record 6
Below is an optimized crystal structure of Mg2TaMn, with properties calculated at the PBE level.

The structure in extended XYZ format:
```
4
Lattice="-0.9840 -0.7786 -2.5378 1.8541 -2.0093 0.7346 -6.9661 -4.8918 4.2019" Properties=species:S:1:pos:R:3 pbc="T T T"
Mg -0.0709 -0.0498 0.0428
Mg -3.4121 -2.3961 2.0582
Mn -1.3065 -2.6169 0.1489
Ta -4.7895 -5.0628 2.2498
```

Values from the calculation:
Offset from the most stable computed form ... 211.8 meV per atom
Raw total energy ... -22.8 eV per cell

---

Record 7
Below is an optimized crystal structure of Mg2TaMn, with properties calculated at the PBE level.

The structure in extended XYZ format:
```
4
Lattice="5.4017 -0.0332 0.0000 2.7181 4.6681 0.0000 -4.0599 -2.3175 2.7066" Properties=species:S:1:pos:R:3 pbc="T T T"
Mg 0.0000 0.0000 0.0000
Mg 4.0599 2.3175 0.0000
Mn 1.3590 2.3340 1.3533
Ta 2.7008 -0.0166 1.3533
```

Values from the calculation:
Offset from the most stable computed form ... 246.2 meV per atom
Raw total energy ... -22.7 eV per cell

---

Record 8
Below is an optimized crystal structure of MgTaMn2, with properties calculated at the PBE level.

The structure in extended XYZ format:
```
4
Lattice="-1.9128 4.7517 -0.8329 -2.3400 4.1588 2.0395 2.6730 3.2413 1.0666" Properties=species:S:1:pos:R:3 pbc="T T T"
Mg -1.0841 9.0315 1.7030
Mn -4.1235 8.8045 1.2040
Mn -0.5349 3.1519 0.5710
Ta -0.8802 6.1502 1.1386
```

Values from the calculation:
Raw total energy ... -31.0 eV per cell

---

Record 9
Below is an optimized crystal structure of MgTa4Mn, with properties calculated at the PBE level.

The structure in extended XYZ format:
```
6
Lattice="0.0000 3.8749 3.8749 3.8749 0.0000 3.8749 3.8749 3.8749 0.0000" Properties=species:S:1:pos:R:3 pbc="T T T"
Mg 1.9375 1.9375 1.9375
Ta 2.9076 2.9076 4.8423
Ta 2.9076 4.8423 2.9076
Ta 4.8423 4.8423 4.8423
Ta 4.8423 2.9076 2.9076
Mn 0.0000 0.0000 0.0000
```

Values from the calculation:
Raw total energy ... -55.0 eV per cell

---

Record 10
Below is an optimized crystal structure of Mg2TaMn, with properties calculated at the PBE level.

The structure in extended XYZ format:
```
4
Lattice="2.8174 0.0000 0.0000 0.0000 4.5936 0.0000 0.0000 0.0000 5.4670" Properties=species:S:1:pos:R:3 pbc="T T T"
Mg 0.0000 0.0000 0.0226
Mg 0.0000 0.0000 2.7109
Mn 1.4087 2.2968 1.3668
Ta 1.4087 2.2968 4.1003
```

Values from the calculation:
Offset from the most stable computed form ... 243.8 meV per atom
Raw total energy ... -22.7 eV per cell

---

Record 11
Below is an optimized crystal structure of Mg2TaMn, with properties calculated at the PBE level.

The structure in extended XYZ format:
```
8
Lattice="-5.3506 -5.3257 0.2392 3.7645 -4.0144 -5.1732 0.5249 -5.9079 -0.5474" Properties=species:S:1:pos:R:3 pbc="T T T"
Mg -2.5845 -5.1503 -0.6411
Mg 1.6574 -4.8088 -3.3332
Mg -0.0901 -8.0519 -2.4134
Mg -1.1052 -12.4852 -4.5753
Mn -0.7931 -4.6701 -2.4670
Mn 1.7481 -7.2962 -4.0938
Ta 0.0000 0.0000 0.0000
Ta -2.8094 -7.9518 -1.3876
```

Values from the calculation:
Offset from the most stable computed form ... 669.9 meV per atom
Raw total energy ... -42.0 eV per cell

---

Record 12
Below is an optimized crystal structure of Mg2TaMn, with properties calculated at the PBE level.

The structure in extended XYZ format:
```
4
Lattice="3.2684 0.0000 0.0000 0.0000 4.3195 0.0000 0.0000 0.0000 4.8177" Properties=species:S:1:pos:R:3 pbc="T T T"
Mg 0.0000 0.0000 0.0000
Mg 1.6342 2.1598 0.0000
Mn 1.6342 0.0000 2.4089
Ta 0.0000 2.1598 2.4089
```

Values from the calculation:
Offset from the most stable computed form ... 182.6 meV per atom
Raw total energy ... -22.9 eV per cell

---

Record 13
Below is an optimized crystal structure of MgTaMn2, with properties calculated at the PBE level.

The structure in extended XYZ format:
```
4
Lattice="5.1288 -0.0045 0.0000 2.4204 4.5217 0.0000 -3.7746 -2.2586 2.6373" Properties=species:S:1:pos:R:3 pbc="T T T"
Mg 2.5644 -0.0023 1.3187
Mn 0.0000 0.0000 0.0000
Mn 1.2102 2.2609 1.3187
Ta 3.7746 2.2586 0.0000
```

Values from the calculation:
Raw total energy ... -30.7 eV per cell

---

Record 14
Below is an optimized crystal structure of MgTaMn2, with properties calculated at the PBE level.

The structure in extended XYZ format:
```
4
Lattice="2.8017 0.0000 0.0000 0.0000 2.8017 0.0000 0.0000 0.0000 7.5413" Properties=species:S:1:pos:R:3 pbc="T T T"
Mg 1.4009 1.4009 5.9380
Mn 0.0000 0.0000 0.3707
Mn 1.4009 1.4009 1.5334
Ta 0.0000 0.0000 3.4699
```

Values from the calculation:
Raw total energy ... -31.1 eV per cell

---

Record 15
Below is an optimized crystal structure of MgTaMn3, with properties calculated at the PBE level.

The structure in extended XYZ format:
```
5
Lattice="-2.2916 -3.7482 1.6930 -0.7641 -1.5163 -4.3913 4.0412 -2.4121 0.1298" Properties=species:S:1:pos:R:3 pbc="T T T"
Mg 0.4928 -3.8383 -1.2843
Mn -0.3820 -0.7582 -2.1956
Mn 2.0206 -1.2061 0.0649
Mn -1.1458 -1.8741 0.8465
Ta 0.0000 0.0000 0.0000
```

Values from the calculation:
Offset from the most stable computed form ... 0.0 meV per atom
Raw total energy ... -35.3 eV per cell

---

Record 16
Below is an optimized crystal structure of Mg2TaMn, with properties calculated at the PBE level.

The structure in extended XYZ format:
```
4
Lattice="-3.3642 -1.0490 -3.4412 -4.1382 -2.4351 -1.0980 -3.4768 4.0132 1.2254" Properties=species:S:1:pos:R:3 pbc="T T T"
Mg -0.0183 0.0088 -0.0008
Mg -2.6648 0.1309 -0.8028
Mn -5.6096 0.4316 -1.5977
Ta -8.1760 0.2223 -2.5693
```

Values from the calculation:
Offset from the most stable computed form ... 186.4 meV per atom
Raw total energy ... -22.9 eV per cell

---

Record 17
Below is an optimized crystal structure of MgTa2Mn2, with properties calculated at the PBE level.

The structure in extended XYZ format:
```
10
Lattice="-0.9967 -5.4874 -4.5932 1.5287 -4.6937 5.2758 -2.9612 -0.1034 0.7661" Properties=species:S:1:pos:R:3 pbc="T T T"
Mg 0.0000 0.0000 0.0000
Mg 0.2660 -5.0906 0.3413
Mn 0.9582 -6.0560 2.8866
Mn 0.1103 -7.7266 -0.6162
Mn -0.4262 -4.1252 -2.2040
Mn 0.4217 -2.4546 1.2988
Ta -0.6323 -4.0051 3.1286
Ta -0.8488 -7.6144 1.8049
Ta -1.7969 -6.2794 -1.6800
Ta -1.5805 -2.6701 -0.3563
```

Values from the calculation:
Raw total energy ... -85.7 eV per cell

---

Record 18
Below is an optimized crystal structure of Mg2TaMn, with properties calculated at the PBE level.

The structure in extended XYZ format:
```
4
Lattice="0.0000 3.2159 3.2159 3.2159 0.0000 3.2159 3.2159 3.2159 0.0000" Properties=species:S:1:pos:R:3 pbc="T T T"
Mg 1.6080 1.6080 1.6080
Mg 4.8239 4.8239 4.8239
Mn 0.0000 0.0000 0.0000
Ta 3.2159 3.2159 3.2159
```

Values from the calculation:
Offset from the most stable computed form ... 688.5 meV per atom
Raw total energy ... -20.9 eV per cell

---

Record 19
Below is an optimized crystal structure of MgTaMn2, with properties calculated at the PBE level.

The structure in extended XYZ format:
```
4
Lattice="-2.4237 1.6713 1.1328 -1.6697 -0.6640 -2.5927 -2.2193 -5.0665 2.7267" Properties=species:S:1:pos:R:3 pbc="T T T"
Mg -3.7112 -3.2962 1.3151
Mn -0.0580 -0.1324 0.0712
Mn -1.0517 -2.4009 1.2921
Ta -2.6015 -0.7630 -0.0483
```

Values from the calculation:
Raw total energy ... -31.4 eV per cell

---

Record 20
Below is an optimized crystal structure of Mg2TaMn, with properties calculated at the PBE level.

The structure in extended XYZ format:
```
4
Lattice="2.8603 0.2218 0.0000 -0.8686 2.7343 0.0000 0.0000 0.0000 9.1382" Properties=species:S:1:pos:R:3 pbc="T T T"
Mg 0.0000 0.0000 9.0442
Mg 0.9958 1.4780 2.5099
Mn 0.0000 0.0000 4.6734
Ta 0.9958 1.4780 6.6180
```

Values from the calculation:
Offset from the most stable computed form ... 68.6 meV per atom
Raw total energy ... -23.4 eV per cell

---

Record 21
Below is an optimized crystal structure of Mg2TaMn, with properties calculated at the PBE level.

The structure in extended XYZ format:
```
4
Lattice="-3.1986 -3.1763 -3.3496 4.0129 -2.2596 3.2142 -1.6106 -1.1905 1.9358" Properties=species:S:1:pos:R:3 pbc="T T T"
Mg 0.0000 0.0000 0.0000
Mg 0.4071 -2.7180 -0.0677
Mn -2.4046 -2.1834 -0.7069
Ta 1.2011 -1.7250 2.5750
```

Values from the calculation:
Offset from the most stable computed form ... 225.8 meV per atom
Raw total energy ... -22.8 eV per cell

---

Record 22
Below is an optimized crystal structure of MgTa2TiMn, with properties calculated at the PBE level.

The structure in extended XYZ format:
```
5
Lattice="4.7759 0.0000 0.0000 0.0000 4.1768 0.0000 0.0000 0.0000 4.7759" Properties=species:S:1:pos:R:3 pbc="T T T"
Mg 0.0000 0.0000 0.0000
Mn 0.0000 2.0884 0.0000
Ti 2.3879 2.0884 2.3879
Ta 0.0000 0.0000 2.3879
Ta 2.3879 0.0000 0.0000
```

Values from the calculation:
Raw total energy ... -33.3 eV per cell

---

Record 23
Below is an optimized crystal structure of MgTa2MnTl, with properties calculated at the PBE level.

The structure in extended XYZ format:
```
5
Lattice="4.8325 0.0000 0.0000 0.0000 4.5249 0.0000 0.0000 0.0000 4.8325" Properties=species:S:1:pos:R:3 pbc="T T T"
Tl 2.4163 2.2624 2.4163
Mn 0.0000 2.2624 0.0000
Mg 0.0000 0.0000 0.0000
Ta 0.0000 0.0000 2.4163
Ta 2.4163 0.0000 0.0000
```

Values from the calculation:
Raw total energy ... -28.6 eV per cell

---

Record 24
Below is an optimized crystal structure of Tb2MgMn, with properties calculated at the PBE level.

The structure in extended XYZ format:
```
4
Lattice="-0.7175 1.3007 -3.2047 -1.9890 -2.8327 -0.7045 -6.4435 3.7836 2.9782" Properties=species:S:1:pos:R:3 pbc="T T T"
Mg -4.5750 1.1258 -0.4655
Mn -1.3532 -0.7660 -1.9546
Tb -5.0457 2.9628 2.3322
Tb -1.3978 0.8208 0.6461
```

Values from the calculation:
Offset from the most stable computed form ... 0.0 meV per atom
Raw total energy ... -19.9 eV per cell

---

Record 25
Below is an optimized crystal structure of TbThMgMn, with properties calculated at the PBE level.

The structure in extended XYZ format:
```
4
Lattice="5.2205 0.0000 0.0000 2.6102 4.5211 0.0000 2.6102 1.5070 4.2625" Properties=species:S:1:pos:R:3 pbc="T T T"
Mg 0.0000 0.0000 0.0000
Mn 5.2205 3.0141 2.1313
Tb 7.8307 4.5211 3.1969
Th 2.6102 1.5070 1.0656
```

Values from the calculation:
Raw total energy ... -22.2 eV per cell

---

Record 26
Below is an optimized crystal structure of TbTmMgMn, with properties calculated at the PBE level.

The structure in extended XYZ format:
```
4
Lattice="-0.1369 -5.0039 -1.2258 3.9311 -3.0758 1.2829 -0.5993 -3.5426 3.6947" Properties=species:S:1:pos:R:3 pbc="T T T"
Mg 0.0000 0.0000 0.0000
Tm 2.3962 -8.7167 2.8138
Tb 0.7987 -2.9056 0.9379
Mn 1.5975 -5.8111 1.8759
```

Values from the calculation:
Raw total energy ... -19.5 eV per cell

---

Record 27
Below is an optimized crystal structure of TbMgZrMn, with properties calculated at the PBE level.

The structure in extended XYZ format:
```
4
Lattice="4.9796 0.0000 0.0000 2.4898 4.3124 0.0000 2.4898 1.4375 4.0658" Properties=species:S:1:pos:R:3 pbc="T T T"
Mg 0.0000 0.0000 0.0000
Mn 4.9796 2.8750 2.0329
Tb 7.4694 4.3124 3.0494
Zr 2.4898 1.4375 1.0165
```

Values from the calculation:
Raw total energy ... -23.3 eV per cell

---

Record 28
Below is an optimized crystal structure of MgMn2Tc2, with properties calculated at the PBE level.

The structure in extended XYZ format:
```
10
Lattice="-2.9034 6.5543 -0.6694 -4.7905 -2.6024 -4.7027 -1.7094 -0.5484 2.0447" Properties=species:S:1:pos:R:3 pbc="T T T"
Mg 0.0000 0.0000 0.0000
Mg -3.8470 1.9760 -2.6861
Mn -5.2917 0.1866 -4.3738
Mn -5.5318 4.1219 -3.5190
Mn -2.4022 3.7653 -0.9983
Mn -2.1621 -0.1700 -1.8531
Tc -4.5184 -0.9239 -2.2147
Tc -6.7858 1.9102 -3.3501
Tc -4.8849 4.3274 -1.1127
Tc -2.6175 1.4934 0.0227
```

Values from the calculation:
Offset from the most stable computed form ... 0.0 meV per atom
Raw total energy ... -79.7 eV per cell

---

Record 29
Below is an optimized crystal structure of MgMn2Tc2, with properties calculated at the PBE level.

The structure in extended XYZ format:
```
5
Lattice="4.0146 0.0000 0.0000 0.0000 4.0146 0.0000 2.0073 2.0073 4.9844" Properties=species:S:1:pos:R:3 pbc="T T T"
Mg 0.0000 0.0000 0.0000
Mn 4.0146 2.0073 2.4922
Mn 2.0073 4.0146 2.4922
Tc 2.0073 2.0073 1.2277
Tc 4.0146 4.0146 3.7567
```

Values from the calculation:
Offset from the most stable computed form ... 195.1 meV per atom
Raw total energy ... -38.9 eV per cell